No. 1
The following is a DFT calculation (PBE-GGA) of Ac3Hg2N2 after structural relaxation.

Properties
DFT total energy (Ry/atom): -0.369
Total magnetic moment (μB/f.u.): 0.0
SG: C2/m, No. 12
Calculated volume (Å³/atom): 30.15
Density (kg/m³): 8736

Cell lengths 4.2818, 7.4269, 7.8209 Å; angles 64.09, 74.11, 73.25 degrees
Fractional positions:
1 N 0.8094 0.3184 0.0628
2 N 0.1906 0.6816 0.9372
3 Hg 0.5426 0.2771 0.6378
4 Hg 0.4574 0.7229 0.3622
5 Ac 0.7875 0.6425 0.7824
6 Ac 0.0000 0.0000 0.0000
7 Ac 0.2125 0.3575 0.2176

---

No. 2
The following is a DFT calculation (PBE-GGA) of Na2AcInSb2 after structural relaxation.

Properties
DFT total energy (Ry/atom): -0.256
Total magnetic moment (μB/f.u.): 0.0
SG: Pmc2_1, No. 26
Calculated volume (Å³/atom): 33.08
Density (kg/m³): 5282

Cell lengths 4.5304, 9.2856, 9.4365 Å; angles 90.00, 90.00, 90.00 degrees
Fractional positions:
1 Na 0.0000 0.8675 0.8147
2 Na 0.5000 0.5605 0.9180
3 Na 0.0000 0.3675 0.1853
4 Na 0.5000 0.0605 0.0820
5 Sb 0.0000 0.3038 0.8668
6 Sb 0.5000 0.2266 0.4198
7 Sb 0.5000 0.7266 0.5802
8 Sb 0.0000 0.8038 0.1332
9 In 0.5000 0.1305 0.7364
10 In 0.5000 0.6305 0.2636
11 Ac 0.0000 0.9566 0.4408
12 Ac 0.0000 0.4566 0.5592

---

No. 3
The following is a DFT calculation (PBE-GGA) of TbPmScAl after structural relaxation.

Properties
DFT total energy (Ry/atom): -0.365
Total magnetic moment (μB/f.u.): 0.7
SG: F-43m, No. 216
DFT formation energy (eV/atom): -0.102
Calculated volume (Å³/atom): 26.19
Density (kg/m³): 5957

Cell lengths 5.2915, 5.2915, 5.2915 Å; angles 60.00, 60.00, 60.00 degrees
Last column: magnetic moment on the atom in μB.
Fractional positions:
1 Pm 0.7500 0.7500 0.7500  0.10
2 Al 0.5000 0.5000 0.5000  -0.01
3 Sc 0.0000 0.0000 0.0000  0.24
4 Tb 0.2500 0.2500 0.2500  0.14

---

No. 4
The following is a DFT calculation (PBE-GGA) of PrC2O6F after structural relaxation.

Properties
DFT total energy (Ry/atom): -0.524
Total magnetic moment (μB/f.u.): 0.0
SG: C2/c, No. 15
Calculated volume (Å³/atom): 13.88
Density (kg/m³): 3348

Cell lengths 6.6906, 6.6906, 7.5211 Å; angles 113.19, 113.19, 91.64 degrees
Fractional positions:
1 F 0.0834 0.9166 0.2500
2 F 0.9166 0.0834 0.7500
3 O 0.8587 0.7325 0.9793
4 O 0.0901 0.6455 0.8135
5 O 0.7154 0.5344 0.6380
6 O 0.9099 0.3545 0.1865
7 O 0.4656 0.2846 0.8620
8 O 0.7325 0.8587 0.4793
9 O 0.1413 0.2675 0.0207
10 O 0.5344 0.7154 0.1380
11 O 0.2846 0.4656 0.3620
12 O 0.2675 0.1413 0.5207
13 O 0.6455 0.0901 0.3135
14 O 0.3545 0.9099 0.6865
15 C 0.9025 0.6396 0.8119
16 C 0.0975 0.3604 0.1881
17 C 0.6396 0.9025 0.3119
18 C 0.3604 0.0975 0.6881
19 Pr 0.5918 0.4082 0.2500
20 Pr 0.4082 0.5918 0.7500

---

No. 5
The following is a DFT calculation (PBE-GGA) of Tb3Pr2Nd8 after structural relaxation.

Properties
DFT total energy (Ry/atom): -0.333
Total magnetic moment (μB/f.u.): 0.0
SG: P2/m, No. 10
DFT formation energy (eV/atom): 0.202
Calculated volume (Å³/atom): 35.73
Density (kg/m³): 6837
Relative energy among the computed polymorphs (meV/atom): 41

Cell lengths 5.7489, 7.7371, 11.1374 Å; angles 110.33, 90.01, 90.00 degrees
Fractional positions:
1 Nd 0.0002 0.6693 0.3386
2 Nd 0.4999 0.1903 0.7926
3 Nd 0.9998 0.3307 0.6614
4 Nd 0.0001 0.8699 0.7397
5 Nd 0.9999 0.1301 0.2603
6 Nd 0.4999 0.6018 0.7927
7 Nd 0.5001 0.8097 0.2074
8 Nd 0.5001 0.3982 0.2073
9 Tb 0.0000 0.2852 0.0000
10 Tb 0.5000 0.0000 0.0000
11 Tb 0.0000 0.7148 0.0000
12 Pr 0.4997 0.2409 0.4810
13 Pr 0.5003 0.7591 0.5190

---

No. 6
The following is a DFT calculation (PBE-GGA) of MgVZn2N4 after structural relaxation.

Properties
DFT total energy (Ry/atom): -0.454
Total magnetic moment (μB/f.u.): 0.8
SG: Pmn2_1, No. 31
Calculated volume (Å³/atom): 12.23
Density (kg/m³): 4448

Cell lengths 5.2185, 5.6799, 6.6027 Å; angles 90.00, 90.00, 90.00 degrees
Last column: magnetic moment on the atom in μB.
Fractional positions:
1 V 0.9996 0.1760 0.0000  -0.07
2 V 0.4996 0.8240 0.5000  -0.07
3 N 0.8994 0.8652 0.0000  0.14
4 N 0.8869 0.3255 0.7722  0.14
5 N 0.3452 0.1850 0.0000  0.16
6 N 0.3994 0.1348 0.5000  0.14
7 N 0.3869 0.6745 0.2722  0.14
8 N 0.8869 0.3255 0.2278  0.14
9 N 0.3869 0.6745 0.7278  0.14
10 N 0.8452 0.8150 0.5000  0.16
11 Mg 0.4903 0.8407 0.0000  0.01
12 Mg 0.9903 0.1593 0.5000  0.01
13 Zn 0.9958 0.6677 0.7544  0.05
14 Zn 0.4958 0.3323 0.7456  0.05
15 Zn 0.9958 0.6677 0.2456  0.05
16 Zn 0.4958 0.3323 0.2544  0.05

---

No. 7
The following is a DFT calculation (PBE-GGA) of Ca3Cu2O6 after structural relaxation.

Properties
DFT total energy (Ry/atom): -0.424
Total magnetic moment (μB/f.u.): 0.9
SG: I4/mmm, No. 139
Calculated volume (Å³/atom): 12.30
Density (kg/m³): 4214

Cell lengths 3.7487, 3.7487, 9.9852 Å; angles 100.82, 100.82, 90.00 degrees
Last column: magnetic moment on the atom in μB.
Fractional positions:
1 O 0.2992 0.2992 0.5983  0.15
2 O 0.9188 0.4188 0.8376  0.05
3 O 0.4188 0.9188 0.8376  0.05
4 O 0.7008 0.7008 0.4017  0.15
5 O 0.5812 0.0812 0.1624  0.05
6 O 0.0812 0.5812 0.1624  0.05
7 Cu 0.5979 0.5979 0.1958  0.18
8 Cu 0.4021 0.4021 0.8042  0.18
9 Ca 0.0000 0.0000 0.0000  0.00
10 Ca 0.8181 0.8181 0.6362  0.00
11 Ca 0.1819 0.1819 0.3638  0.00

---

No. 8
The following is a DFT calculation (PBE-GGA) of CoMoPt2 after structural relaxation.

Properties
DFT total energy (Ry/atom): -0.547
Total magnetic moment (μB/f.u.): 2.2
SG: P4/mmm, No. 123
DFT formation energy (eV/atom): 0.061
Calculated volume (Å³/atom): 15.08
Density (kg/m³): 15001
Relative energy among the computed polymorphs (meV/atom): 255

Cell lengths 4.7165, 4.7165, 2.7121 Å; angles 90.00, 90.00, 90.00 degrees
Last column: magnetic moment on the atom in μB.
Fractional positions:
1 Pt 0.0000 0.0000 0.0000  0.13
2 Pt 0.5000 0.5000 0.0000  0.13
3 Mo 0.0000 0.5000 0.5000  0.02
4 Co 0.5000 0.0000 0.5000  1.99

---

No. 9
The following is a DFT calculation (PBE-GGA) of Pm2Pr6Tm after structural relaxation.

Properties
DFT total energy (Ry/atom): -0.343
Total magnetic moment (μB/f.u.): 0.0
SG: C2/c, No. 15
DFT formation energy (eV/atom): 0.079
Calculated volume (Å³/atom): 34.92
Density (kg/m³): 6891
Relative energy among the computed polymorphs (meV/atom): 0

Cell lengths 6.3090, 10.2931, 10.2931 Å; angles 71.17, 84.74, 84.74 degrees
Fractional positions:
1 Pr 0.6494 0.0752 0.3486
2 Pr 0.1494 0.3486 0.0752
3 Pr 0.9864 0.4089 0.6887
4 Pr 0.3203 0.7462 0.0250
5 Pr 0.8203 0.0250 0.7462
6 Pr 0.5136 0.3113 0.5911
7 Pr 0.0136 0.5911 0.3113
8 Pr 0.1797 0.9750 0.2538
9 Pr 0.6797 0.2538 0.9750
10 Pr 0.4864 0.6887 0.4089
11 Pr 0.3506 0.9248 0.6514
12 Pr 0.8506 0.6514 0.9248
13 Pm 0.9210 0.7706 0.5658
14 Pm 0.5790 0.4342 0.2294
15 Pm 0.0790 0.2294 0.4342
16 Pm 0.4210 0.5658 0.7706
17 Tm 0.7500 0.8984 0.1016
18 Tm 0.2500 0.1016 0.8984

---

No. 10
The following is a DFT calculation (PBE-GGA) of LaDy4Ru2 after structural relaxation.

Properties
DFT total energy (Ry/atom): -0.458
Total magnetic moment (μB/f.u.): 0.0
SG: P2_1/m, No. 11
DFT formation energy (eV/atom): -0.247
Calculated volume (Å³/atom): 26.68
Density (kg/m³): 8812

Cell lengths 6.4787, 8.1744, 7.6979 Å; angles 113.63, 90.00, 90.00 degrees
Fractional positions:
1 Dy 0.9986 0.4131 0.7512
2 Dy 0.2500 0.2590 0.3234
3 Dy 0.0014 0.5869 0.2488
4 Dy 0.5014 0.4131 0.7512
5 Dy 0.7500 0.7410 0.6766
6 Dy 0.4986 0.5869 0.2488
7 Dy 0.7500 0.0146 0.3805
8 Dy 0.2500 0.9854 0.6195
9 Ru 0.7500 0.7224 0.0210
10 Ru 0.7500 0.3626 0.4024
11 Ru 0.2500 0.2776 0.9790
12 Ru 0.2500 0.6374 0.5976
13 La 0.7500 0.1721 0.0231
14 La 0.2500 0.8279 0.9769

---

No. 11
The following is a DFT calculation (PBE-GGA) of NaBeAs3 after structural relaxation.

Properties
DFT total energy (Ry/atom): -0.173
Total magnetic moment (μB/f.u.): 0.0
SG: Pm-3m, No. 221
DFT formation energy (eV/atom): 1.447
Calculated volume (Å³/atom): 24.17
Density (kg/m³): 3528
Relative energy among the computed polymorphs (meV/atom): 1210

Cell lengths 4.9439, 4.9439, 4.9439 Å; angles 90.00, 90.00, 90.00 degrees
Fractional positions:
1 As 0.0000 0.5000 0.0000
2 As 0.0000 0.0000 0.5000
3 As 0.5000 0.0000 0.0000
4 Be 0.5000 0.5000 0.5000
5 Na 0.0000 0.0000 0.0000

---

No. 12
The following is a DFT calculation (PBE-GGA) of TaFeIrPt after structural relaxation.

Properties
DFT total energy (Ry/atom): -0.686
Total magnetic moment (μB/f.u.): 1.9
SG: Pmmm, No. 47
DFT formation energy (eV/atom): -0.523
Calculated volume (Å³/atom): 14.75
Density (kg/m³): 17568

Cell lengths 3.8597, 3.8702, 3.9491 Å; angles 90.00, 90.00, 90.00 degrees
Last column: magnetic moment on the atom in μB.
Fractional positions:
1 Fe 0.5000 0.5000 0.0000  2.13
2 Ta 0.0000 0.5000 0.5000  -0.32
3 Ir 0.5000 0.0000 0.5000  0.10
4 Pt 0.0000 0.0000 0.0000  0.06

---

No. 13
The following is a DFT calculation (PBE-GGA) of HgI2NF after structural relaxation.

Properties
DFT total energy (Ry/atom): -0.133
Total magnetic moment (μB/f.u.): 1.9
SG: P4/mmm, No. 123
Calculated volume (Å³/atom): 32.71
Density (kg/m³): 4948
Relative energy among the computed polymorphs (meV/atom): 0

Cell lengths 7.0807, 7.0807, 3.2623 Å; angles 90.00, 90.00, 90.00 degrees
Last column: magnetic moment on the atom in μB.
Fractional positions:
1 N 0.0000 0.0000 0.5000  1.26
2 I 0.0000 0.5000 0.0000  -0.02
3 I 0.5000 0.0000 0.0000  -0.02
4 Hg 0.5000 0.5000 0.5000  -0.01
5 F 0.0000 0.0000 0.0000  0.15

---

No. 14
The following is a DFT calculation (PBE-GGA) of Cs2LaSnO4 after structural relaxation.

Properties
DFT total energy (Ry/atom): -0.422
Total magnetic moment (μB/f.u.): 0.9
SG: C2, No. 5
Calculated volume (Å³/atom): 23.92
Density (kg/m³): 5098

Cell lengths 6.6028, 6.8021, 6.6043 Å; angles 125.16, 124.20, 83.03 degrees
Last column: magnetic moment on the atom in μB.
Fractional positions:
1 Sn 0.7588 0.7589 0.5176  0.20
2 O 0.6846 0.5563 0.6426  0.15
3 O 0.3846 0.7319 0.2231  0.04
4 O 0.8383 0.4907 0.2228  0.04
5 O 0.9577 0.0861 0.6419  0.15
6 La 0.9926 0.4926 0.9852  0.02
7 Cs 0.5082 0.0082 0.0162  0.01
8 Cs 0.2623 0.2623 0.5245  0.01

---

No. 15
The following is a DFT calculation (PBE-GGA) of NaHfTlSb2 after structural relaxation.

Properties
DFT total energy (Ry/atom): -0.258
Total magnetic moment (μB/f.u.): 0.0
SG: P4/mmm, No. 123
Calculated volume (Å³/atom): 29.41
Density (kg/m³): 7333

Cell lengths 5.3616, 5.1157, 5.3616 Å; angles 90.00, 90.00, 90.00 degrees
Fractional positions:
1 Hf 0.5000 0.5000 0.5000
2 Tl 0.0000 0.5000 0.0000
3 Sb 0.0000 0.0000 0.5000
4 Sb 0.5000 0.0000 0.0000
5 Na 0.0000 0.0000 0.0000

---

No. 16
The following is a DFT calculation (PBE-GGA) of ZnWBr2 after structural relaxation.

Properties
DFT total energy (Ry/atom): -0.285
Total magnetic moment (μB/f.u.): 0.8
SG: I-42d, No. 122
Calculated volume (Å³/atom): 26.95
Density (kg/m³): 6302
Relative energy among the computed polymorphs (meV/atom): 362

Cell lengths 9.0340, 9.0340, 6.9126 Å; angles 49.20, 49.20, 90.00 degrees
Last column: magnetic moment on the atom in μB.
Fractional positions:
1 Br 0.7715 0.1250 0.2500  0.01
2 Br 0.9785 0.6250 0.2500  0.01
3 Br 0.8750 0.0215 0.7500  0.02
4 Br 0.3750 0.2285 0.7500  0.02
5 Zn 0.2500 0.7500 0.5000  0.00
6 Zn 0.5000 0.5000 0.0000  0.00
7 W 0.0000 0.0000 0.0000  0.58
8 W 0.7500 0.2500 0.5000  0.58

---

No. 17
The following is a DFT calculation (PBE-GGA) of Y4HgTe after structural relaxation.

Properties
DFT total energy (Ry/atom): -0.401
Total magnetic moment (μB/f.u.): 0.0
SG: Pnma, No. 62
Calculated volume (Å³/atom): 29.51
Density (kg/m³): 6414
Relative energy among the computed polymorphs (meV/atom): 0

Cell lengths 4.6655, 7.4197, 20.4568 Å; angles 90.00, 90.00, 90.00 degrees
Fractional positions:
1 Y 0.7500 0.4276 0.2848
2 Y 0.7500 0.3726 0.0382
3 Y 0.2500 0.5387 0.4287
4 Y 0.7500 0.8726 0.4618
5 Y 0.2500 0.6274 0.9618
6 Y 0.7500 0.9613 0.9287
7 Y 0.7500 0.4613 0.5713
8 Y 0.7500 0.9072 0.6423
9 Y 0.7500 0.9276 0.2152
10 Y 0.2500 0.0928 0.3577
11 Y 0.2500 0.5724 0.7152
12 Y 0.2500 0.0724 0.7848
13 Y 0.2500 0.5928 0.1423
14 Y 0.7500 0.4072 0.8577
15 Y 0.2500 0.0387 0.0713
16 Y 0.2500 0.1274 0.5382
17 Hg 0.2500 0.2228 0.9322
18 Hg 0.2500 0.7228 0.5678
19 Hg 0.7500 0.2772 0.4322
20 Hg 0.7500 0.7772 0.0678
21 Te 0.7500 0.7794 0.7892
22 Te 0.7500 0.2794 0.7108
23 Te 0.2500 0.7206 0.2892
24 Te 0.2500 0.2206 0.2108

---

No. 18
The following is a DFT calculation (PBE-GGA) of LiOsRh2O6 after structural relaxation.

Properties
DFT total energy (Ry/atom): -0.453
Total magnetic moment (μB/f.u.): 1.2
SG: P4mm, No. 99
Calculated volume (Å³/atom): 14.26
Density (kg/m³): 5812

Cell lengths 4.6397, 5.5429, 5.5429 Å; angles 90.00, 90.00, 90.00 degrees
Last column: magnetic moment on the atom in μB.
Fractional positions:
1 O 0.7649 0.2283 0.2283  0.00
2 O 0.7649 0.2283 0.7717  0.00
3 O 0.1513 0.5000 0.5000  0.73
4 O 0.2429 0.0000 0.0000  0.02
5 O 0.7649 0.7717 0.2283  0.00
6 O 0.7649 0.7717 0.7717  0.00
7 Rh 0.9000 0.5000 0.0000  0.18
8 Rh 0.9000 0.0000 0.5000  0.18
9 Li 0.5822 0.5000 0.5000  -0.01
10 Os 0.6110 0.0000 0.0000  0.00

---

No. 19
The following is a DFT calculation (PBE-GGA) of TaV2NiH after structural relaxation.

Properties
DFT total energy (Ry/atom): -0.578
Total magnetic moment (μB/f.u.): 0.0
SG: P4/mmm, No. 123
Calculated volume (Å³/atom): 11.62
Density (kg/m³): 9788
Relative energy among the computed polymorphs (meV/atom): 16

Cell lengths 3.7213, 3.7213, 4.1965 Å; angles 90.00, 90.00, 90.00 degrees
Fractional positions:
1 V 0.5000 0.0000 0.0000
2 V 0.0000 0.5000 0.0000
3 Ta 0.5000 0.5000 0.5000
4 Ni 0.0000 0.0000 0.5000
5 H 0.0000 0.0000 0.0000

---

No. 20
The following is a DFT calculation (PBE-GGA) of Fe2AgAs2 after structural relaxation.

Properties
DFT total energy (Ry/atom): -0.417
Total magnetic moment (μB/f.u.): 0.0
SG: P4/mbm, No. 127
DFT formation energy (eV/atom): 0.143
Calculated volume (Å³/atom): 13.88
Density (kg/m³): 8836
Relative energy among the computed polymorphs (meV/atom): 0

Cell lengths 6.9826, 6.9826, 2.8476 Å; angles 90.00, 90.00, 90.00 degrees
Fractional positions:
1 Fe 0.8626 0.6374 0.0000
2 Fe 0.3626 0.8626 0.0000
3 Fe 0.6374 0.1374 0.0000
4 Fe 0.1374 0.3626 0.0000
5 As 0.1538 0.6538 0.5000
6 As 0.3462 0.1538 0.5000
7 As 0.6538 0.8462 0.5000
8 As 0.8462 0.3462 0.5000
9 Ag 0.5000 0.5000 0.0000
10 Ag 0.0000 0.0000 0.0000

---

No. 21
The following is a DFT calculation (PBE-GGA) of LiAgSe2 after structural relaxation.

Properties
DFT total energy (Ry/atom): -0.234
Total magnetic moment (μB/f.u.): 0.0
SG: I4/mmm, No. 139
Calculated volume (Å³/atom): 19.29
Density (kg/m³): 5869
Relative energy among the computed polymorphs (meV/atom): 175

Cell lengths 5.0171, 5.0171, 5.0171 Å; angles 127.46, 127.46, 77.50 degrees
Fractional positions:
1 Li 0.7500 0.2500 0.5000
2 Se 0.5000 0.5000 0.0000
3 Se 0.0000 0.0000 0.0000
4 Ag 0.2500 0.7500 0.5000

---

No. 22
The following is a DFT calculation (PBE-GGA) of Nb2Co2P after structural relaxation.

Properties
DFT total energy (Ry/atom): -0.606
Total magnetic moment (μB/f.u.): 0.0
SG: P4/mbm, No. 127
DFT formation energy (eV/atom): -0.289
Calculated volume (Å³/atom): 13.85
Density (kg/m³): 8023
Relative energy among the computed polymorphs (meV/atom): 0

Cell lengths 5.6677, 5.6677, 4.3125 Å; angles 90.00, 90.00, 90.00 degrees
Fractional positions:
1 P 0.0000 0.0000 0.0000
2 P 0.5000 0.5000 0.0000
3 Nb 0.6781 0.8219 0.5000
4 Nb 0.8219 0.3219 0.5000
5 Nb 0.3219 0.1781 0.5000
6 Nb 0.1781 0.6781 0.5000
7 Co 0.3516 0.8516 0.0000
8 Co 0.6484 0.1484 0.0000
9 Co 0.1484 0.3516 0.0000
10 Co 0.8516 0.6484 0.0000